(1)
Here is an optimized crystal structure of PmPaIr2 from Alexandria via LeMat-Bulk. Energies are from PBE.

The calculation puts the density at 13.42 g/cm3. The calculation puts the density of states at the Fermi level at 0.482 states/eV per atom. The value obtained for the energy relative to the lowest polymorph listed for this composition is 0.0829 eV/atom. The calculation puts the total DFT energy (no corrections) at -35.1 eV/cell. The space-group type is R-3m, No. 166.

Unit cell a=3.9798 b=3.9798 c=7.2369 alpha=74.04 beta=74.04 gamma=60.00
Positions (direct):
Pa1 0.0000 0.0000 0.0000
Pm1 0.5000 0.5000 0.5000
Ir1 0.2578 0.2578 0.2267
Ir2 0.7422 0.7422 0.7733

(2)
Here is an optimized crystal structure of PmPa2Ir2 from Alexandria via LeMat-Bulk. Energies are from PBE.

The calculation puts the density at 13.26 g/cm3. The calculation puts the density of states at the Fermi level at 1.386 states/eV per atom. The calculation puts the total DFT energy (no corrections) at -44.1 eV/cell. The space-group type is I4/mmm, No. 139.

Unit cell a=5.0886 b=5.0886 c=5.9942 alpha=115.12 beta=115.12 gamma=90.00
Positions (direct):
Ir1 0.6399 0.6399 0.2797
Ir2 0.3601 0.3601 0.7203
Pa1 0.2500 0.7500 0.5000
Pm1 0.0000 0.0000 0.0000
Pa2 0.7500 0.2500 0.5000

(3)
Here is an optimized crystal structure of PmPaIr from Alexandria via LeMat-Bulk. Energies are from PBE.

The calculation puts the density at 13.00 g/cm3. The calculation puts the density of states at the Fermi level at 1.219 states/eV per atom. The value obtained for the energy relative to the lowest polymorph listed for this composition is 0.0586 eV/atom. The calculation puts the total DFT energy (no corrections) at -24.6 eV/cell. The space-group type is I4mm, No. 107.

Unit cell a=3.6121 b=3.6121 c=6.1228 alpha=107.16 beta=107.16 gamma=90.00
Positions (direct):
Ir1 0.6959 0.6959 0.3918
Pm1 0.0035 0.0035 0.0071
Pa1 0.3006 0.3006 0.6012

(4)
Here is an optimized crystal structure of Pm4PaIr4 from Alexandria via LeMat-Bulk. Energies are from PBE.

The calculation puts the density at 12.07 g/cm3. The calculation puts the density of states at the Fermi level at 0.691 states/eV per atom. The calculation puts the total DFT energy (no corrections) at -70.1 eV/cell. The space-group type is C2/m, No. 12.

Unit cell a=4.6812 b=7.8265 c=8.9549 alpha=44.08 beta=74.85 gamma=72.60
Positions (direct):
Ir1 0.3314 0.0951 0.2422
Pm1 0.7060 0.3682 0.2197
Ir2 0.6686 0.9049 0.7578
Pm2 0.2940 0.6318 0.7803
Pm3 0.0937 0.2189 0.5937
Ir3 0.9073 0.2857 0.8996
Pm4 0.9063 0.7811 0.4063
Pa1 0.5000 0.0000 0.0000
Ir4 0.0927 0.7143 0.1004

(5)
Here is an optimized crystal structure of PmPaIr2 from Alexandria via LeMat-Bulk. Energies are from PBE.

The calculation puts the density at 14.47 g/cm3. The calculation puts the density of states at the Fermi level at 0.774 states/eV per atom. The value obtained for the energy relative to the lowest polymorph listed for this composition is 0.1342 eV/atom. The calculation puts the total DFT energy (no corrections) at -34.9 eV/cell. The space-group type is P4/mmm, No. 123.

Unit cell a=3.5000 b=3.5000 c=7.1219 alpha=90.00 beta=90.00 gamma=90.00
Positions (direct):
Ir1 0.0000 0.0000 0.7886
Ir2 0.0000 0.0000 0.2114
Pa1 0.5000 0.5000 0.0000
Pm1 0.5000 0.5000 0.5000

(6)
Here is an optimized crystal structure of Pm14Pa2Ir9 from Alexandria via LeMat-Bulk. Energies are from PBE.

The calculation puts the density at 9.75 g/cm3. The calculation puts the density of states at the Fermi level at 0.923 states/eV per atom. The calculation puts the total DFT energy (no corrections) at -180.2 eV/cell. The space-group type is P-3, No. 147.

Unit cell a=8.4596 b=8.4596 c=11.6027 alpha=90.00 beta=90.00 gamma=120.00
Positions (direct):
Pm1 0.0000 0.0000 0.2486
Pm2 0.0000 0.0000 0.7514
Pm3 0.0723 0.3857 0.5950
Ir1 0.9452 0.6486 0.6597
Pm4 0.3857 0.3134 0.4050
Ir2 0.7034 0.0548 0.6597
Ir3 0.2966 0.9452 0.3403
Pm5 0.6752 0.6371 0.0948
Ir4 0.6486 0.7034 0.3403
Pm6 0.3248 0.3629 0.9052
Pm7 0.9277 0.6143 0.4050
Pm8 0.6371 0.9619 0.9052
Pm9 0.3629 0.0381 0.0948
Pm10 0.6143 0.6866 0.5950
Pa1 0.6667 0.3333 0.7299
Pm11 0.0381 0.6752 0.9052
Ir5 0.6667 0.3333 0.9601
Ir6 0.3514 0.2966 0.6597
Pa2 0.3333 0.6667 0.2701
Pm12 0.6866 0.0723 0.4050
Pm13 0.3134 0.9277 0.5950
Ir7 0.0548 0.3514 0.3403
Pm14 0.9619 0.3248 0.0948
Ir8 0.0000 0.0000 0.0000
Ir9 0.3333 0.6667 0.0399

(7)
Here is an optimized crystal structure of Pm5PaIr4 from Alexandria via LeMat-Bulk. Energies are from PBE.

The calculation puts the density at 10.18 g/cm3. The calculation puts the density of states at the Fermi level at 0.602 states/eV per atom. The value obtained for the energy relative to the lowest polymorph listed for this composition is 0.0358 eV/atom. The calculation puts the total DFT energy (no corrections) at -74.9 eV/cell. The space-group type is C2/m, No. 12.

Unit cell a=4.1234 b=7.9635 c=9.1613 alpha=105.80 beta=103.01 gamma=90.00
Positions (direct):
Ir1 0.9987 0.2409 0.9973
Pm1 0.8313 0.1425 0.6626
Pm2 0.1623 0.3393 0.3247
Ir2 0.3356 0.8967 0.6712
Pm3 0.8377 0.6607 0.6753
Pm4 0.1687 0.8575 0.3374
Ir3 0.6644 0.1033 0.3288
Pm5 0.5000 0.5000 0.0000
Pa1 0.5000 0.0000 0.0000
Ir4 0.0013 0.7591 0.0027

(8)
Here is an optimized crystal structure of PmPa2Ir3 from Alexandria via LeMat-Bulk. Energies are from PBE.

The calculation puts the density at 15.13 g/cm3. The calculation puts the density of states at the Fermi level at 0.980 states/eV per atom. The calculation puts the total DFT energy (no corrections) at -218.4 eV/cell. The space-group type is C2/c, No. 15.

Unit cell a=8.2846 b=4.4274 c=17.1128 alpha=90.01 beta=99.96 gamma=122.25
Positions (direct):
Pm1 0.9072 0.9072 0.8145
Pa1 0.5786 0.5786 0.1573
Ir1 0.4358 0.4362 0.3118
Pa2 0.5122 0.0122 0.0244
Pm2 0.3428 0.8428 0.6855
Pa3 0.9966 0.4966 0.9932
Pm3 0.0788 0.0788 0.1576
Ir2 0.7364 0.7364 0.9826
Pa4 0.8301 0.3301 0.6602
Pm4 0.1712 0.6712 0.3424
Ir3 0.0422 0.0420 0.6365
Ir4 0.0038 0.5038 0.5174
Ir5 0.6557 0.1555 0.8635
Ir6 0.8142 0.3138 0.1882
Ir7 0.2078 0.7080 0.8635
Pa5 0.4199 0.4199 0.8398
Ir8 0.2462 0.2462 0.9826
Ir9 0.5943 0.5945 0.6365
Pa6 0.6714 0.1714 0.3427
Ir10 0.5136 0.0136 0.5174
Pa7 0.7378 0.7378 0.4756
Ir11 0.3740 0.8744 0.1882
Pa8 0.2534 0.2534 0.5068
Ir12 0.8760 0.8756 0.3118

(9)
Here is an optimized crystal structure of PmPaIr2 from Alexandria via LeMat-Bulk. Energies are from PBE.

The calculation puts the density at 14.88 g/cm3. The calculation puts the density of states at the Fermi level at 1.241 states/eV per atom. The value obtained for the energy relative to the lowest polymorph listed for this composition is 0.2643 eV/atom. The calculation puts the total DFT energy (no corrections) at -34.3 eV/cell. The space-group type is Fm-3m, No. 225.

Unit cell a=4.9326 b=4.9326 c=4.9326 alpha=60.00 beta=60.00 gamma=60.00
Last column: magnetic moment on the atom in μB.
Positions (direct):
Ir1 0.7500 0.7500 0.7500  -0.01
Pm1 0.0000 0.0000 0.0000  0.01
Ir2 0.2500 0.2500 0.2500  -0.01
Pa1 0.5000 0.5000 0.5000  0.11

(10)
Here is an optimized crystal structure of Pm3Pa2Ir4 from Alexandria via LeMat-Bulk. Energies are from PBE.

The calculation puts the density at 12.56 g/cm3. The calculation puts the density of states at the Fermi level at 0.778 states/eV per atom. The calculation puts the total DFT energy (no corrections) at -75.1 eV/cell. The space-group type is C2/m, No. 12.

Unit cell a=3.9552 b=6.2341 c=9.5256 alpha=98.06 beta=90.00 gamma=108.50
Positions (direct):
Pm1 0.6226 0.2453 0.3833
Pm2 0.0000 0.0000 0.0000
Pa1 0.6832 0.3663 0.7817
Ir1 0.3120 0.6240 0.9194
Ir2 0.9206 0.8412 0.3788
Pm3 0.3774 0.7547 0.6167
Ir3 0.6880 0.3760 0.0806
Ir4 0.0794 0.1588 0.6212
Pa2 0.3168 0.6337 0.2183

(11)
Here is an optimized crystal structure of Pm2PaIr2 from Alexandria via LeMat-Bulk. Energies are from PBE.

The calculation puts the density at 11.74 g/cm3. The calculation puts the density of states at the Fermi level at 1.045 states/eV per atom. The value obtained for the energy relative to the lowest polymorph listed for this composition is 0.0890 eV/atom. The calculation puts the total DFT energy (no corrections) at -159.5 eV/cell. The space-group type is P2_1/c, No. 14.

Unit cell a=7.1797 b=6.8907 c=10.3909 alpha=90.00 beta=95.05 gamma=90.00
Positions (direct):
Pm1 0.9139 0.2586 0.0225
Ir1 0.3105 0.9371 0.7994
Pm2 0.8626 0.6748 0.2870
Ir2 0.8105 0.5629 0.7994
Pm3 0.0861 0.7414 0.9775
Pm4 0.6374 0.1748 0.7130
Pm5 0.3626 0.8252 0.2870
Pa1 0.0082 0.8071 0.6272
Pa2 0.9918 0.1929 0.3728
Pm6 0.1374 0.3252 0.7130
Ir3 0.6895 0.0629 0.2006
Pa3 0.4918 0.3071 0.3728
Pm7 0.4139 0.2414 0.0225
Pm8 0.5861 0.7586 0.9775
Ir4 0.7915 0.4576 0.5194
Ir5 0.2915 0.0424 0.5194
Ir6 0.2085 0.5424 0.4806
Ir7 0.7085 0.9576 0.4806
Pa4 0.5082 0.6929 0.6272
Ir8 0.1895 0.4371 0.2006

(12)
Here is an optimized crystal structure of Pm8PaIr6 from Alexandria via LeMat-Bulk. Energies are from PBE.

The calculation puts the density at 11.06 g/cm3. The calculation puts the density of states at the Fermi level at 0.653 states/eV per atom. The calculation puts the total DFT energy (no corrections) at -110.5 eV/cell. The space-group type is R-3, No. 148.

Unit cell a=7.9545 b=7.9545 c=7.9545 alpha=63.30 beta=63.30 gamma=63.30
Positions (direct):
Ir1 0.0562 0.3643 0.7414
Ir2 0.3643 0.7414 0.0562
Pm1 0.5342 0.8988 0.2285
Pm2 0.8988 0.2285 0.5342
Ir3 0.7414 0.0562 0.3643
Ir4 0.6357 0.2586 0.9438
Pm3 0.3399 0.3399 0.3399
Ir5 0.2586 0.9438 0.6357
Pm4 0.2285 0.5342 0.8988
Pm5 0.1012 0.7715 0.4658
Pa1 0.0000 0.0000 0.0000
Pm6 0.4658 0.1012 0.7715
Ir6 0.9438 0.6357 0.2586
Pm7 0.7715 0.4658 0.1012
Pm8 0.6601 0.6601 0.6601